## A
Density functional theory data (PBE-GGA) for crystalline GeMoAs at its relaxed geometry.

Values from the calculation:
Fermi-level density of states ... 1.980 states/eV/cell
Crystal system ... monoclinic
M_tot ... 0.000 μB per atom

Lattice parameters (Å, degrees): 9.305 3.290 7.724 90.00 119.58 90.00
Space group C2/m (No. 12)
Symmetry-distinct sites (fractional):
Ge (0.104, 0.000, 0.397) x4
Mo (0.154, 0.500, 0.702) x4
As (0.145, 0.500, 0.037) x4

## B
Density functional theory data (PBE-GGA) for crystalline GeMoAs at its relaxed geometry.

Values from the calculation:
Fermi-level density of states ... 1.965 states/eV/cell
Crystal system ... orthorhombic
M_tot ... 0.000 μB per atom

Lattice parameters (Å, degrees): 3.086 4.282 4.320 90.00 90.00 90.00
Space group Pmmm (No. 47)
Symmetry-distinct sites (fractional):
Ge (0.000, 0.000, 0.000) x1
Mo (0.500, 0.000, 0.500) x1
As (0.000, 0.500, 0.500) x1

It is B that is the least stable of them.

## A
Density functional theory data (PBE-GGA) for crystalline GeMoAs3 at its relaxed geometry.

Values from the calculation:
Fermi-level density of states ... 6.308 states/eV/cell
Crystal system ... cubic
M_tot ... 0.070 μB per atom

Lattice parameters (Å, degrees): 4.898 4.898 4.898 90.00 90.00 90.00
Space group Pm-3m (No. 221)
Symmetry-distinct sites (fractional):
Ge (0.000, 0.000, 0.000) x1
Mo (0.500, 0.500, 0.500) x1
As (0.000, 0.500, 0.500) x3

## B
Density functional theory data (PBE-GGA) for crystalline GeMoAs3 at its relaxed geometry.

Values from the calculation:
Fermi-level density of states ... 3.764 states/eV/cell
Crystal system ... cubic
M_tot ... 0.608 μB per atom

Lattice parameters (Å, degrees): 4.845 4.845 4.845 90.00 90.00 90.00
Space group Pm-3m (No. 221)
Symmetry-distinct sites (fractional):
Ge (0.000, 0.000, 0.000) x1
Mo (0.500, 0.500, 0.500) x1
As (0.000, 0.000, 0.500) x3

It is B that is the least stable of them.